A relaxed In2HgBi crystal, computed with PBE.

Output
D(E_F), states/eV per cell: 0.91
SG: P4/mmm (123)
Total DFT energy (no corrections), eV per cell: -9.6

Structure (CIF):
```
data_In2HgBi
_chemical_formula_sum 'In2 Hg1 Bi1'
_symmetry_space_group_name_H-M 'P 1'
_symmetry_Int_Tables_number 1
_symmetry_space_group_name_Hall 'P 1'
_cell_length_a 5.665
_cell_length_b 5.665
_cell_length_c 3.552
_cell_angle_alpha 90.00
_cell_angle_beta 90.00
_cell_angle_gamma 90.00
loop_
_atom_site_label
_atom_site_type_symbol
_atom_site_fract_x
_atom_site_fract_y
_atom_site_fract_z
_atom_site_occupancy
In1 In 0.000 0.500 0.000 1
In2 In 0.500 0.000 0.000 1
Hg1 Hg 0.000 0.000 0.500 1
Bi1 Bi 0.500 0.500 0.500 1
```